Material: TaNbSe2
Method: DFT, GGA-PBE
State: optimized geometry

space-group type: I-42d
uncorrected energy: -6.96 eV per atom
E_form (uncorrected): 0.2655 eV/atom
excess energy over the best structure of this formula in the dataset: 514 meV/atom

Cell and atoms, written as POSCAR:
```
TaNbSe2
1.0
6.133 0.000 0.000
0.000 6.133 0.000
3.066 3.066 5.188
Se Ta Nb
4 2 2
Direct
0.875 0.880 0.750 Se
0.630 0.125 0.250 Se
0.375 0.370 0.750 Se
0.120 0.625 0.250 Se
0.000 0.000 0.000 Ta
0.750 0.250 0.500 Ta
0.250 0.750 0.500 Nb
0.500 0.500 0.000 Nb
```